The following is a DFT calculation (GGA-PBE) of an optimized crystal structure of VOs5Ru2.

a b c (Å): 7.6548 7.6791 7.6972
angles (deg): 90.00 90.00 90.00
Last column: nearest neighbours and their distance in Å.
Space group Fmmm (No. 69)
Symmetry-distinct sites (fractional):
V1 0.0000 0.0000 0.0000  4 Ru 2.71, 8 Os 2.71-2.72
Os1 0.0000 0.0000 0.5000  4 Ru 2.71, 8 Os 2.71-2.72
Os2 0.0000 0.2500 0.2500  6 Os 2.71-2.72, 4 Ru 2.71, 2 V 2.72
Os3 0.2500 0.0000 0.2500  6 Os 2.71, 2 V 2.71, 4 Ru 2.72
Ru1 0.2500 0.2500 0.0000  2 V 2.71, 10 Os 2.71-2.72

Results
DOS(E_F): 23.49 states/eV per cell
uncorrected energy: -335.11 eV for the cell shown
ΔE_f: 0.0053 eV per atom